No. 1
! NaCa3Pt | the Alexandria database | PBE-GGA | relaxed; values from VASP
! * calculated density: 3.33 g cm⁻³
! * uncorrected energy: -3.09 eV/atom
! * energy relative to the elements: -0.41 eV/atom
! * spin magnetization: 0.0 μB/cell
! * DOS at the Fermi energy: 7.2 states/eV per cell
! * E above lowest polymorph: 55.5 meV per atom
&SYSTEM
  ibrav = 0, nat = 20, ntyp = 3
/
ATOMIC_SPECIES
Na 22.99 Na.upf
Ca 40.08 Ca.upf
Pt 195.08 Pt.upf
CELL_PARAMETERS angstrom
-4.051 18.027 -21.243
-6.337 -2.319 -0.760
0.302 -4.087 9.956
ATOMIC_POSITIONS crystal
Na 0.043 0.064 0.470
Na 0.957 0.936 0.530
Na 0.457 0.564 0.030
Na 0.543 0.436 0.970
Ca 0.343 0.891 0.054
Ca 0.657 0.109 0.946
Ca 0.157 0.391 0.446
Ca 0.843 0.609 0.554
Ca 0.330 0.433 0.179
Ca 0.670 0.567 0.821
Ca 0.170 0.933 0.321
Ca 0.830 0.067 0.679
Ca 0.388 0.920 0.541
Ca 0.612 0.080 0.459
Ca 0.112 0.420 0.959
Ca 0.888 0.580 0.041
Pt 0.550 0.727 0.753
Pt 0.450 0.273 0.247
Pt 0.950 0.227 0.747
Pt 0.050 0.773 0.253

No. 2
! NdErCd | the Alexandria database | PBE-GGA | relaxed; values from VASP
! * calculated density: 7.91 g cm⁻³
! * uncorrected energy: -3.54 eV/atom
! * energy relative to the elements: -0.12 eV/atom
! * spin magnetization: 0.0 μB/cell
! * DOS at the Fermi energy: 6.4 states/eV per cell
! * E above lowest polymorph: 70.6 meV per atom
&SYSTEM
  ibrav = 0, nat = 6, ntyp = 3
/
ATOMIC_SPECIES
Nd 144.24 Nd.upf
Er 167.26 Er.upf
Cd 112.41 Cd.upf
CELL_PARAMETERS angstrom
5.830 -0.088 0.000
-2.869 5.076 0.000
-1.480 -2.494 6.065
ATOMIC_POSITIONS crystal
Nd 0.667 0.333 0.000
Nd 0.333 0.667 0.000
Er 0.863 0.863 0.727
Er 0.137 0.137 0.273
Cd 0.750 0.250 0.500
Cd 0.250 0.750 0.500

No. 3
! SmMnFeP2 | the Alexandria database | PBE-GGA | relaxed; values from VASP
! * calculated density: 7.28 g cm⁻³
! * uncorrected energy: -7.59 eV/atom
! * energy relative to the elements: -0.95 eV/atom
! * spin magnetization: 0.0 μB/cell
! * DOS at the Fermi energy: 3.3 states/eV per cell
&SYSTEM
  ibrav = 0, nat = 5, ntyp = 4
/
ATOMIC_SPECIES
Sm 150.36 Sm.upf
Mn 54.94 Mn.upf
Fe 55.84 Fe.upf
P 30.97 P.upf
CELL_PARAMETERS angstrom
-1.211 2.538 -2.690
-3.526 -1.645 0.035
0.976 2.614 4.842
ATOMIC_POSITIONS crystal
Sm 0.000 0.000 0.000
Mn 0.750 0.250 0.500
Fe 0.250 0.750 0.500
P 0.640 0.640 0.281
P 0.360 0.360 0.719

No. 4
! NaCo3Cl | the Alexandria database | PBE-GGA | relaxed; values from VASP
! * calculated density: 5.28 g cm⁻³
! * uncorrected energy: -4.12 eV/atom
! * spin magnetization: 3.0 μB/cell
! * DOS at the Fermi energy: 7.2 states/eV per cell
! * E above lowest polymorph: 0.0 meV per atom
! * ΔE_f (raw): 3.875 eV/f.u.
&SYSTEM
  ibrav = 0, nat = 5, ntyp = 3
/
ATOMIC_SPECIES
Na 22.99 Na.upf
Co 58.93 Co.upf
Cl 35.45 Cl.upf
CELL_PARAMETERS angstrom
4.199 0.000 0.000
0.000 4.199 0.000
0.000 0.000 4.199
ATOMIC_POSITIONS crystal
Na 0.500 0.500 0.500
Co 0.000 0.500 0.000
Co 0.000 0.000 0.500
Co 0.500 0.000 0.000
Cl 0.000 0.000 0.000

No. 5
! Ce3NpTl4S8 | the Alexandria database | PBE-GGA | relaxed; values from VASP
! * calculated density: 6.42 g cm⁻³
! * uncorrected energy: -5.88 eV/atom
! * spin magnetization: 7.0 μB/cell
! * DOS at the Fermi energy: 26.3 states/eV per cell
! * ΔE_f (raw): -20.923 eV/f.u.
&SYSTEM
  ibrav = 0, nat = 16, ntyp = 4
/
ATOMIC_SPECIES
Ce 140.12 Ce.upf
Np 237.00 Np.upf
Tl 204.38 Tl.upf
S 32.06 S.upf
CELL_PARAMETERS angstrom
-4.694 4.000 5.565
-0.477 -7.397 4.915
7.543 2.902 -1.923
ATOMIC_POSITIONS crystal
Ce 0.500 0.500 0.000
Ce 0.500 0.500 0.500
Ce 0.000 0.500 0.500
Np 0.000 0.500 0.000
Tl 0.500 0.000 0.000
Tl 0.500 0.000 0.500
Tl 0.000 0.000 0.000
Tl 0.000 0.000 0.500
S 0.738 0.698 0.968
S 0.266 0.298 0.532
S 0.770 0.302 0.540
S 0.230 0.698 0.968
S 0.770 0.302 0.032
S 0.230 0.698 0.460
S 0.734 0.702 0.468
S 0.262 0.302 0.032

No. 6
! CeCdAs2O8 | the Alexandria database | PBE-GGA | relaxed; values from VASP
! * calculated density: 5.25 g cm⁻³
! * uncorrected energy: -6.42 eV/atom
! * spin magnetization: 0.0 μB/cell
! * DOS at the Fermi energy: 0.0 states/eV per cell
! * ΔE_f (raw): -21.270 eV/f.u.
&SYSTEM
  ibrav = 0, nat = 12, ntyp = 4
/
ATOMIC_SPECIES
Ce 140.12 Ce.upf
Cd 112.41 Cd.upf
As 74.92 As.upf
O 16.00 O.upf
CELL_PARAMETERS angstrom
6.033 0.040 0.000
-2.640 5.425 0.000
-1.697 -2.732 5.104
ATOMIC_POSITIONS crystal
Ce 0.000 0.000 0.000
Cd 0.250 0.750 0.500
As 0.750 0.250 0.500
As 0.500 0.500 0.000
O 0.396 0.081 0.315
O 0.321 0.500 0.178
O 0.321 0.143 0.822
O 0.766 0.081 0.685
O 0.857 0.679 0.178
O 0.919 0.234 0.315
O 0.919 0.604 0.685
O 0.500 0.679 0.822

No. 7
! Pm4OsRh | the Alexandria database | PBE-GGA | relaxed; values from VASP
! * calculated density: 7.73 g cm⁻³
! * uncorrected energy: -6.52 eV/atom
! * energy relative to the elements: -0.25 eV/atom
! * spin magnetization: 0.0 μB/cell
! * DOS at the Fermi energy: 8.5 states/eV per cell
! * E above lowest polymorph: 87.6 meV per atom
&SYSTEM
  ibrav = 0, nat = 12, ntyp = 3
/
ATOMIC_SPECIES
Pm 145.00 Pm.upf
Os 190.23 Os.upf
Rh 102.91 Rh.upf
CELL_PARAMETERS angstrom
7.886 -0.052 0.000
-3.232 7.194 0.000
-2.327 -3.571 6.635
ATOMIC_POSITIONS crystal
Pm 0.253 0.951 0.698
Pm 0.747 0.447 0.700
Pm 0.701 0.503 0.198
Pm 0.197 0.997 0.200
Pm 0.305 0.503 0.802
Pm 0.797 0.997 0.800
Pm 0.747 0.047 0.300
Pm 0.253 0.555 0.302
Os 0.749 0.749 0.000
Os 0.499 0.999 0.500
Rh 0.250 0.250 0.000
Rh 0.000 0.500 0.500

No. 8
! AcPrSeS | the Alexandria database | PBE-GGA | relaxed; values from VASP
! * calculated density: 7.13 g cm⁻³
! * uncorrected energy: -6.06 eV/atom
! * spin magnetization: 0.0 μB/cell
! * DOS at the Fermi energy: 1.4 states/eV per cell
! * ΔE_f (raw): -7.750 eV/f.u.
&SYSTEM
  ibrav = 0, nat = 4, ntyp = 4
/
ATOMIC_SPECIES
Ac 227.00 Ac.upf
Pr 140.91 Pr.upf
Se 78.96 Se.upf
S 32.06 S.upf
CELL_PARAMETERS angstrom
-0.362 -1.493 3.991
-1.299 -4.019 0.670
6.131 -4.034 1.338
ATOMIC_POSITIONS crystal
Ac 0.256 0.256 0.231
Pr 0.743 0.743 0.770
Se 0.496 0.496 0.511
S 0.004 0.004 0.988